# ScAuSe3

A geometry-optimized ScAuSe3 structure (GGA-PBE, the Alexandria database).

Results
The calculation puts the raw formation energy at 4.4 kJ per mole of atoms.

```
data_ScAuSe3
_space_group_name_H-M_alt 'P 1'
_space_group_IT_number 1
_cell_length_a 5.0422
_cell_length_b 5.0422
_cell_length_c 5.0422
_cell_angle_alpha 90.00
_cell_angle_beta 90.00
_cell_angle_gamma 90.00
loop_
_space_group_symop_operation_xyz
'x,y,z'
loop_
_atom_site_label
_atom_site_type_symbol
_atom_site_fract_x
_atom_site_fract_y
_atom_site_fract_z
Sc1 Sc 0.0000 0.0000 0.0000
Au1 Au 0.5000 0.5000 0.5000
Se1 Se 0.0000 0.5000 0.5000
Se2 Se 0.5000 0.0000 0.5000
Se3 Se 0.5000 0.5000 0.0000
```

# K4Nd3HfSe8

A geometry-optimized K4Nd3HfSe8 structure (GGA-PBE, the Alexandria database).

Results
The calculation puts the raw formation energy at -155.4 kJ per mole of atoms.

```
data_K4Nd3HfSe8
_space_group_name_H-M_alt 'P 1'
_space_group_IT_number 1
_cell_length_a 9.1414
_cell_length_b 9.1414
_cell_length_c 9.1414
_cell_angle_alpha 55.15
_cell_angle_beta 55.15
_cell_angle_gamma 55.15
loop_
_space_group_symop_operation_xyz
'x,y,z'
loop_
_atom_site_label
_atom_site_type_symbol
_atom_site_fract_x
_atom_site_fract_y
_atom_site_fract_z
K1 K 0.0000 0.0000 0.0000
K2 K 0.0000 0.5000 0.5000
K3 K 0.5000 0.0000 0.5000
K4 K 0.5000 0.5000 0.0000
Nd1 Nd 0.0000 0.0000 0.5000
Nd2 Nd 0.0000 0.5000 0.0000
Nd3 Nd 0.5000 0.0000 0.0000
Hf1 Hf 0.5000 0.5000 0.5000
Se1 Se 0.2392 0.2392 0.2392
Se2 Se 0.2589 0.7230 0.7230
Se3 Se 0.2770 0.2770 0.7411
Se4 Se 0.2770 0.7411 0.2770
Se5 Se 0.7230 0.2589 0.7230
Se6 Se 0.7230 0.7230 0.2589
Se7 Se 0.7411 0.2770 0.2770
Se8 Se 0.7608 0.7608 0.7608
```

# BaMg2CuB

A geometry-optimized BaMg2CuB structure (GGA-PBE, the Alexandria database).

Results
As for the calculated formation energy: 1.817 eV per formula unit.

```
data_BaMg2CuB
_space_group_name_H-M_alt 'P 1'
_space_group_IT_number 1
_cell_length_a 4.5934
_cell_length_b 4.5934
_cell_length_c 5.9949
_cell_angle_alpha 90.00
_cell_angle_beta 90.00
_cell_angle_gamma 90.00
loop_
_space_group_symop_operation_xyz
'x,y,z'
loop_
_atom_site_label
_atom_site_type_symbol
_atom_site_fract_x
_atom_site_fract_y
_atom_site_fract_z
Ba1 Ba 0.0000 0.0000 0.0000
Mg1 Mg 0.0000 0.5000 0.5000
Mg2 Mg 0.5000 0.0000 0.5000
Cu1 Cu 0.5000 0.5000 0.0000
B1 B 0.0000 0.0000 0.5000
```

| no. | M_tot (Bohr magnetons per cell) |
| --- | --- |
| 1 | 0.000 |
| 2 | 0.000 |
| 3 | 0.000 |